# 1
NbFe2P2 | Alexandria | GGA-PBE | optimized geometry; space-group type = P4/mbm; formation energy = -9.032 kcal/mol of atoms
1.0
6.7202 0.0000 0.0000
0.0000 6.7202 0.0000
0.0000 0.0000 2.6726
Nb Fe P
2 4 4
Cartesian
0.0000 0.0000 0.0000
3.3601 3.3601 0.0000
0.9376 2.4225 1.3363
2.4225 5.7826 1.3363
4.2977 0.9376 1.3363
5.7826 4.2977 1.3363
1.0073 4.3674 0.0000
2.3529 1.0073 0.0000
4.3674 5.7130 0.0000
5.7130 2.3529 0.0000

---

# 2
NbFeP | Alexandria | GGA-PBE | optimized geometry; space-group type = P2_1/m; formation energy = -19.331 kcal/mol of atoms
1.0
6.1195 0.0000 0.0000
0.0000 3.6070 0.0000
-0.0704 0.0000 10.5320
Nb Fe P
6 6 6
Cartesian
0.1128 0.9017 2.2072
2.1013 2.7052 6.0877
2.8445 2.7052 9.2797
3.2047 0.9017 1.2523
3.9479 0.9017 4.4443
5.9363 2.7052 8.3248
0.0199 0.9017 6.2096
0.8099 0.9017 10.1103
2.1681 2.7052 3.0977
3.8811 0.9017 7.4343
5.2393 2.7052 0.4217
6.0293 2.7052 4.3224
1.3416 0.9017 4.3746
1.3711 2.7052 0.8279
1.6150 0.9017 7.8912
4.4341 2.7052 2.6408
4.6780 0.9017 9.7041
4.7075 2.7052 6.1574

---

# 3
NbFe3P | Alexandria | GGA-PBE | optimized geometry; space-group type = Pm-3m; formation energy = 6.137 kcal/mol of atoms
1.0
4.0617 0.0000 0.0000
0.0000 4.0617 0.0000
0.0000 0.0000 4.0617
Nb Fe P
1 3 1
Cartesian
0.0000 0.0000 0.0000
0.0000 2.0309 2.0309
2.0309 0.0000 2.0309
2.0309 2.0309 0.0000
2.0309 2.0309 2.0309

---

# 4
Nb4FeP | Alexandria | GGA-PBE | optimized geometry; space-group type = P4/mcc; formation energy = -9.164 kcal/mol of atoms
1.0
6.1187 0.0000 0.0000
0.0000 6.1187 0.0000
0.0000 0.0000 5.1146
Nb Fe P
8 2 2
Cartesian
0.9720 2.0397 0.0000
0.9720 4.0790 2.5573
2.0397 0.9720 2.5573
2.0397 5.1467 0.0000
4.0790 0.9720 0.0000
4.0790 5.1467 2.5573
5.1467 2.0397 2.5573
5.1467 4.0790 0.0000
0.0000 0.0000 1.2786
0.0000 0.0000 3.8359
3.0593 3.0593 1.2786
3.0593 3.0593 3.8359

---

# 5
PaNbFe2P2 | Alexandria | GGA-PBE | optimized geometry; space-group type = P-3m1; formation energy = -17.352 kcal/mol of atoms
1.0
3.7705 0.0000 0.0000
-1.8852 3.2653 0.0000
0.0000 0.0000 7.2846
Pa Nb Fe P
1 1 2 2
Cartesian
0.0000 0.0000 0.0000
0.0000 0.0000 3.6423
0.0000 2.1769 5.5414
1.8852 1.0884 1.7432
0.0000 2.1769 2.0792
1.8852 1.0884 5.2054

---

# 6
PmNbFeP2 | Alexandria | GGA-PBE | optimized geometry; space-group type = I-4m2; formation energy = -18.923 kcal/mol of atoms
1.0
-1.9336 1.9336 5.9584
1.9336 -1.9336 5.9584
1.9336 1.9336 -5.9584
Pm Nb Fe P
1 1 1 2
Cartesian
0.0000 0.0000 0.0000
0.0000 1.9336 2.9792
1.9336 0.0000 2.9792
0.0000 0.0000 4.4808
0.0000 0.0000 7.4360

---

# 7
NbFeP2S | Alexandria | GGA-PBE | optimized geometry; space-group type = P4/mmm; formation energy from raw total energies = 489 meV per atom
1.0
4.1915 0.0000 0.0000
0.0000 4.1915 0.0000
0.0000 0.0000 4.7690
Nb Fe P S
1 1 2 1
Cartesian
0.0000 0.0000 0.0000
2.0957 2.0957 2.3845
0.0000 2.0957 2.3845
2.0957 0.0000 2.3845
2.0957 2.0957 0.0000

---

# 8
NbFeP2S | Alexandria | GGA-PBE | optimized geometry; space-group type = P4/mmm; formation energy from raw total energies = 656 meV per atom
1.0
4.8441 0.0000 0.0000
0.0000 4.8441 0.0000
0.0000 0.0000 4.7027
Nb Fe P S
1 1 2 1
Cartesian
0.0000 0.0000 0.0000
2.4220 2.4220 2.3513
0.0000 2.4220 0.0000
2.4220 0.0000 0.0000
0.0000 0.0000 2.3513

---

# 9
SrNbFeP2 | Alexandria | GGA-PBE | optimized geometry; space-group type = I-4m2; formation energy = -17.544 kcal/mol of atoms
1.0
-1.9534 1.9534 6.3590
1.9534 -1.9534 6.3590
1.9534 1.9534 -6.3590
Sr Nb Fe P
1 1 1 2
Cartesian
0.0000 0.0000 0.0000
1.9534 0.0000 3.1795
0.0000 1.9534 3.1795
0.0000 0.0000 4.6526
0.0000 0.0000 8.0654

---

# 10
ThNbFeP2 | Alexandria | GGA-PBE | optimized geometry; space-group type = I-4m2; formation energy = -19.108 kcal/mol of atoms
1.0
-1.9135 1.9135 6.1161
1.9135 -1.9135 6.1161
1.9135 1.9135 -6.1161
Th Nb Fe P
1 1 1 2
Cartesian
0.0000 0.0000 0.0000
0.0000 1.9135 3.0581
1.9135 0.0000 3.0581
0.0000 0.0000 4.6141
0.0000 0.0000 7.6182

---

# 11
Nb2ZnFeP | Alexandria | GGA-PBE | optimized geometry; space-group type = P4/mmm; formation energy = 14.722 kcal/mol of atoms
1.0
4.5406 0.0000 0.0000
0.0000 4.5406 0.0000
0.0000 0.0000 4.4118
Nb Zn Fe P
2 1 1 1
Cartesian
0.0000 2.2703 0.0000
2.2703 0.0000 0.0000
0.0000 0.0000 2.2059
0.0000 0.0000 0.0000
2.2703 2.2703 2.2059

---

# 12
PaNbFe4 | Alexandria | GGA-PBE | optimized geometry; space-group type = F-43m; formation energy = -1.543 kcal/mol of atoms
1.0
0.0000 3.4967 3.4967
3.4967 0.0000 3.4967
3.4967 3.4967 0.0000
Pa Nb Fe
1 1 4
Cartesian
0.0000 0.0000 0.0000
5.2450 5.2450 5.2450
2.6230 2.6230 2.6230
4.3703 4.3703 2.6230
4.3703 2.6230 4.3703
2.6230 4.3703 4.3703